# 1
Computed, not measured: crystalline TbPm2Ti at its relaxed geometry at the PBE level of DFT.

Cell: 12.074 12.074 12.074 Å, 16.16 16.16 16.16°
Positions (direct):
Tb 0.000 0.000 0.000
Pm 0.417 0.417 0.417
Pm 0.583 0.583 0.583
Ti 0.500 0.500 0.500

Computed properties:
Its crystal system is trigonal. The value obtained for the formation enthalpy at 0 K is 448 meV/atom. Its space group is R-3m, No. 166.


# 2
Computed, not measured: crystalline TbPm6Tl2 at its relaxed geometry at the PBE level of DFT.

Cell: 6.834 6.834 12.141 Å, 107.40 107.40 32.51°
Positions (direct):
Tb 0.000 0.000 0.000
Pm 0.014 0.014 0.343
Pm 0.307 0.307 0.411
Pm 0.315 0.315 0.124
Pm 0.685 0.685 0.876
Pm 0.693 0.693 0.589
Pm 0.986 0.986 0.657
Tl 0.363 0.363 0.800
Tl 0.637 0.637 0.200

Computed properties:
Its crystal system is monoclinic. The value obtained for the formation enthalpy at 0 K is -151 meV/atom. Its space group is C2/m, No. 12.


# 3
Computed, not measured: crystalline Tb2PmTl at its relaxed geometry at the PBE level of DFT.

Cell: 4.920 4.920 4.868 Å, 90.00 90.00 90.00°
Positions (direct):
Tb 0.000 0.500 0.000
Tb 0.500 0.000 0.000
Pm 0.000 0.000 0.500
Tl 0.500 0.500 0.500

Computed properties:
Its crystal system is tetragonal. The value obtained for the formation enthalpy at 0 K is -190 meV/atom. Its space group is P4/mmm, No. 123.


# 4
Computed, not measured: crystalline TbPmTl at its relaxed geometry at the PBE level of DFT.

Cell: 7.332 7.332 7.332 Å, 151.11 151.11 41.31°
Positions (direct):
Tb 0.000 0.000 0.000
Pm 0.689 0.689 0.000
Tl 0.349 0.349 0.000

Computed properties:
Its crystal system is tetragonal. The value obtained for the formation enthalpy at 0 K is -223 meV/atom. Its space group is I4mm, No. 107.


# 5
Computed, not measured: crystalline Tb2Pm4Tl at its relaxed geometry at the PBE level of DFT.

Cell: 5.787 6.850 11.808 Å, 90.00 103.20 90.00°
Positions (direct):
Tb 0.040 0.250 0.478
Tb 0.313 0.750 0.065
Tb 0.687 0.250 0.935
Tb 0.960 0.750 0.522
Pm 0.165 0.011 0.789
Pm 0.165 0.489 0.789
Pm 0.251 0.250 0.080
Pm 0.391 0.750 0.364
Pm 0.609 0.250 0.636
Pm 0.749 0.750 0.920
Pm 0.835 0.511 0.211
Pm 0.835 0.989 0.211
Tl 0.475 0.250 0.353
Tl 0.525 0.750 0.647

Computed properties:
Its crystal system is monoclinic. The value obtained for the formation enthalpy at 0 K is -11 meV/atom. Its space group is P2_1/m, No. 11.


# 6
Computed, not measured: crystalline TbPmTl at its relaxed geometry at the PBE level of DFT.

Cell: 5.315 5.315 3.753 Å, 90.00 90.00 120.00°
Positions (direct):
Tb 0.000 0.000 0.000
Pm 0.333 0.667 0.464
Tl 0.667 0.333 0.845

Computed properties:
Its crystal system is trigonal. The value obtained for the formation enthalpy at 0 K is -161 meV/atom. Its space group is P3m1, No. 156.


# 7
Computed, not measured: crystalline TbPm8Tl6 at its relaxed geometry at the PBE level of DFT.

Cell: 8.515 8.515 8.515 Å, 66.12 66.12 66.12°
Positions (direct):
Tb 0.000 0.000 0.000
Pm 0.111 0.777 0.447
Pm 0.223 0.553 0.889
Pm 0.334 0.334 0.334
Pm 0.447 0.111 0.777
Pm 0.553 0.889 0.223
Pm 0.666 0.666 0.666
Pm 0.777 0.447 0.111
Pm 0.889 0.223 0.553
Tl 0.059 0.388 0.730
Tl 0.270 0.941 0.612
Tl 0.388 0.730 0.059
Tl 0.612 0.270 0.941
Tl 0.730 0.059 0.388
Tl 0.941 0.612 0.270

Computed properties:
Its crystal system is trigonal. The value obtained for the formation enthalpy at 0 K is -162 meV/atom. Its space group is R-3, No. 148.


# 8
Computed, not measured: crystalline Tb2Pm8Tl at its relaxed geometry at the PBE level of DFT.

Cell: 9.513 9.513 8.075 Å, 105.01 105.01 30.77°
Positions (direct):
Tb 0.224 0.224 0.134
Tb 0.776 0.776 0.866
Pm 0.045 0.045 0.225
Pm 0.137 0.137 0.679
Pm 0.320 0.320 0.591
Pm 0.410 0.410 0.057
Pm 0.590 0.590 0.943
Pm 0.680 0.680 0.409
Pm 0.863 0.863 0.321
Pm 0.955 0.955 0.775
Tl 0.500 0.500 0.500

Computed properties:
Its crystal system is monoclinic. The value obtained for the formation enthalpy at 0 K is -42 meV/atom. Its space group is C2/m, No. 12.


# 9
Computed, not measured: crystalline Tb5Pm4Tl4 at its relaxed geometry at the PBE level of DFT.

Cell: 9.107 9.107 9.107 Å, 94.69 94.69 146.77°
Positions (direct):
Tb 0.000 0.000 0.000
Tb 0.315 0.598 0.913
Tb 0.402 0.315 0.717
Tb 0.598 0.685 0.283
Tb 0.685 0.402 0.087
Pm 0.097 0.387 0.483
Pm 0.387 0.903 0.290
Pm 0.613 0.097 0.710
Pm 0.903 0.613 0.517
Tl 0.111 0.770 0.880
Tl 0.230 0.111 0.341
Tl 0.770 0.889 0.659
Tl 0.889 0.230 0.120

Computed properties:
Its crystal system is tetragonal. The value obtained for the formation enthalpy at 0 K is -245 meV/atom. Its space group is I4/m, No. 87.


# 10
Computed, not measured: crystalline Tb2PmTl at its relaxed geometry at the PBE level of DFT.

Cell: 5.513 5.513 5.513 Å, 60.00 60.00 60.00°
Positions (direct):
Tb 0.250 0.250 0.250
Tb 0.750 0.750 0.750
Pm 0.000 0.000 0.000
Tl 0.500 0.500 0.500

Computed properties:
Its crystal system is cubic. The value obtained for the formation enthalpy at 0 K is -18 meV/atom. Its space group is Fm-3m, No. 225.


# 11
Computed, not measured: crystalline Tb2PmTl9 at its relaxed geometry at the PBE level of DFT.

Cell: 4.789 4.789 14.369 Å, 90.00 90.00 90.00°
Positions (direct):
Tb 0.000 0.000 0.166
Tb 0.000 0.000 0.834
Pm 0.000 0.000 0.500
Tl 0.000 0.500 0.000
Tl 0.000 0.500 0.331
Tl 0.000 0.500 0.669
Tl 0.500 0.000 0.000
Tl 0.500 0.000 0.331
Tl 0.500 0.000 0.669
Tl 0.500 0.500 0.166
Tl 0.500 0.500 0.500
Tl 0.500 0.500 0.834

Computed properties:
Its crystal system is tetragonal. The value obtained for the formation enthalpy at 0 K is -270 meV/atom. Its space group is P4/mmm, No. 123.


# 12
Computed, not measured: crystalline Tb3Pm7Tl at its relaxed geometry at the PBE level of DFT.

Cell: 7.088 7.088 8.629 Å, 90.00 90.00 120.00°
Positions (direct):
Tb 0.167 0.335 0.000
Tb 0.167 0.833 0.000
Tb 0.665 0.833 0.000
Pm 0.005 0.503 0.333
Pm 0.329 0.165 0.662
Pm 0.333 0.667 0.671
Pm 0.497 0.503 0.333
Pm 0.497 0.995 0.333
Pm 0.835 0.165 0.662
Pm 0.835 0.671 0.662
Tl 0.000 0.000 0.324

Computed properties:
Its crystal system is trigonal. The value obtained for the formation enthalpy at 0 K is 129 meV/atom. Its space group is P3m1, No. 156.


| no. | total moment (μB/cell) |
| --- | --- |
| 1 | 1.62 |
| 2 | 0.00 |
| 3 | 0.73 |
| 4 | 0.00 |
| 5 | 0.00 |
| 6 | 0.00 |
| 7 | 0.00 |
| 8 | 0.00 |
| 9 | 0.00 |
| 10 | 1.53 |
| 11 | 0.00 |
| 12 | 0.00 |